Entry 1:
Entry from Alexandria: RbLaP2Cl at its PBEsol-relaxed geometry (SCAN).

a b c (Å): 5.4341 5.4341 5.6559
angles (deg): 90.00 90.00 90.00
Last column: nearest neighbours and their distance in Å.
Sites, in units of the cell vectors:
Rb1 0.0000 0.0000 0.0000  4 Cl 3.84, 8 P 3.92
La1 0.5000 0.5000 0.5000  4 P 2.72, 2 Cl 2.83
P1 0.0000 0.5000 0.5000  2 La 2.72
P2 0.5000 0.0000 0.5000  2 La 2.72
Cl1 0.5000 0.5000 0.0000  2 La 2.83

Symmetry: P4/mmm, No. 123
Total DFT energy (no corrections): -96.0 eV per cell
Formation energy (no corrections): -673 meV per atom



Entry 2:
Entry from Alexandria: YAsOs2 at its PBEsol-relaxed geometry (SCAN).

a b c (Å): 3.1021 4.6325 4.6325
angles (deg): 90.00 90.00 90.00
Last column: nearest neighbours and their distance in Å.
Sites, in units of the cell vectors:
Y1 0.0000 0.0000 0.0000  4 As 2.79, 4 Os 2.79, 2 Y 3.10
As1 0.5000 0.5000 0.0000  4 Y 2.79, 4 Os 2.79, 2 As 3.10
Os1 0.0000 0.5000 0.5000  6 Os 2.79-3.10, 4 As 2.79
Os2 0.5000 0.0000 0.5000  6 Os 2.79-3.10, 4 Y 2.79

Symmetry: Pmmm, No. 47
Total DFT energy (no corrections): -190.8 eV per cell
Energy of formation: 0.25 eV/atom



Entry 3:
Entry from Alexandria: CdFeCu2 at its PBEsol-relaxed geometry (SCAN).

a b c (Å): 4.5479 4.5479 4.5479
angles (deg): 130.29 130.29 72.95
Last column: nearest neighbours and their distance in Å.
Sites, in units of the cell vectors:
Cd1 0.0000 0.0000 0.0000  8 Cu 2.65-2.70, 4 Fe 2.65
Fe1 0.2500 0.7500 0.5000  4 Cd 2.65, 8 Cu 2.65-2.70
Cu1 0.5000 0.5000 0.0000  4 Fe 2.65, 4 Cu 2.65, 4 Cd 2.70
Cu2 0.7500 0.2500 0.5000  4 Cd 2.65, 4 Cu 2.65, 4 Fe 2.70

Symmetry: I-4m2, No. 119
Total DFT energy (no corrections): -78.0 eV per cell
Energy of formation: 0.24 eV/atom